The following is a PBE calculation of a relaxed structure of PmSm4Co4, from Alexandria.

Results
The formation energy is 9 meV/atom. As for the total magnetic moment: 0.0 μB/f.u. The calculation puts the uncorrected energy at -103.9 eV per cell. The volume is 23.2 A^3/atom. Its space group is P4_2/n (86).

Cell lengths 5.718, 8.544, 8.544 Å; angles 90.00, 90.00, 90.00 degrees
Positions (direct):
Pm (0.000, 0.000, 0.000)
Pm (0.500, 0.500, 0.500)
Sm (0.382, 0.309, 0.925)
Sm (0.882, 0.575, 0.809)
Sm (0.382, 0.691, 0.075)
Sm (0.118, 0.191, 0.575)
Sm (0.618, 0.925, 0.691)
Sm (0.118, 0.809, 0.425)
Sm (0.882, 0.425, 0.191)
Sm (0.618, 0.075, 0.309)
Co (0.640, 0.764, 0.361)
Co (0.640, 0.236, 0.639)
Co (0.140, 0.861, 0.736)
Co (0.860, 0.264, 0.861)
Co (0.860, 0.736, 0.139)
Co (0.360, 0.361, 0.236)
Co (0.360, 0.639, 0.764)
Co (0.140, 0.139, 0.264)

***

The following is a PBE calculation of a relaxed structure of PmSmZnCo, from Alexandria.

Results
The formation energy is -172 meV/atom. As for the total magnetic moment: 0.0 μB/f.u. The calculation puts the uncorrected energy at -18.5 eV per cell. The volume is 23.1 A^3/atom. Its space group is Amm2 (38).

Cell lengths 3.917, 4.349, 5.774 Å; angles 90.00, 109.83, 90.00 degrees
Positions (direct):
Pm (0.137, 0.000, 0.274)
Sm (0.859, 0.500, 0.717)
Zn (0.564, 0.500, 0.127)
Co (0.441, 0.000, 0.882)

***

The following is a PBE calculation of a relaxed structure of PmSmZnCo, from Alexandria.

Results
The formation energy is -140 meV/atom. As for the total magnetic moment: 0.0 μB/f.u. The calculation puts the uncorrected energy at -18.4 eV per cell. The volume is 22.0 A^3/atom. Its space group is F-43m (216).

Cell lengths 4.996, 4.996, 4.996 Å; angles 60.00, 60.00, 60.00 degrees
Positions (direct):
Zn (0.000, 0.000, 0.000)
Co (0.500, 0.500, 0.500)
Sm (0.250, 0.250, 0.250)
Pm (0.750, 0.750, 0.750)

***

The following is a PBE calculation of a relaxed structure of PmCoSn, from Alexandria.

Results
The formation energy is -198 meV/atom. As for the total magnetic moment: 0.7 μB/f.u. The calculation puts the uncorrected energy at -16.5 eV per cell. The volume is 21.0 A^3/atom. Its space group is I4mm (107).

Cell lengths 3.319, 3.319, 6.191 Å; angles 105.55, 105.55, 90.00 degrees
Last column: magnetic moment on the atom in μB.
Positions (direct):
Co (0.651, 0.651, 0.302)  0.79
Sn (0.032, 0.032, 0.065)  -0.02
Pm (0.317, 0.317, 0.634)  -0.03

***

The following is a PBE calculation of a relaxed structure of PmCo2Sn4, from Alexandria.

Results
The formation energy is -315 meV/atom. As for the total magnetic moment: 0.0 μB/f.u. The calculation puts the uncorrected energy at -148.7 eV per cell. The volume is 20.3 A^3/atom. Its space group is Pnma (62).

Cell lengths 4.378, 7.089, 18.330 Å; angles 90.00, 90.00, 90.00 degrees
Positions (direct):
Co (0.250, 0.749, 0.535)
Co (0.750, 0.251, 0.465)
Co (0.750, 0.249, 0.965)
Co (0.250, 0.751, 0.035)
Co (0.250, 0.988, 0.787)
Co (0.750, 0.012, 0.213)
Co (0.750, 0.488, 0.713)
Co (0.250, 0.512, 0.287)
Sn (0.250, 0.284, 0.699)
Sn (0.750, 0.716, 0.301)
Sn (0.750, 0.784, 0.801)
Sn (0.250, 0.216, 0.199)
Sn (0.250, 0.702, 0.680)
Sn (0.750, 0.298, 0.320)
Sn (0.750, 0.202, 0.820)
Sn (0.250, 0.798, 0.180)
Sn (0.250, 0.136, 0.528)
Sn (0.750, 0.864, 0.472)
Sn (0.750, 0.636, 0.972)
Sn (0.250, 0.364, 0.028)
Sn (0.250, 0.489, 0.431)
Sn (0.750, 0.511, 0.569)
Sn (0.750, 0.989, 0.069)
Sn (0.250, 0.011, 0.931)
Pm (0.750, 0.007, 0.641)
Pm (0.250, 0.993, 0.359)
Pm (0.250, 0.507, 0.859)
Pm (0.750, 0.493, 0.141)

***

The following is a PBE calculation of a relaxed structure of PmCoSn, from Alexandria.

Results
The formation energy is -243 meV/atom. As for the total magnetic moment: 0.0 μB/f.u. The calculation puts the uncorrected energy at -66.4 eV per cell. The volume is 22.4 A^3/atom. Its space group is Pnma (62).

Cell lengths 5.184, 6.347, 8.175 Å; angles 90.00, 90.00, 90.00 degrees
Positions (direct):
Pm (0.750, 0.646, 0.315)
Pm (0.250, 0.146, 0.185)
Pm (0.750, 0.854, 0.815)
Pm (0.250, 0.354, 0.685)
Co (0.250, 0.950, 0.869)
Co (0.750, 0.450, 0.631)
Co (0.750, 0.050, 0.131)
Co (0.250, 0.550, 0.369)
Sn (0.250, 0.857, 0.560)
Sn (0.250, 0.643, 0.060)
Sn (0.750, 0.143, 0.440)
Sn (0.750, 0.357, 0.940)